Run 1
BH6Pd12, optimized geometry, DFT PBE; DOS(E_F) = 2.838 states/eV/cell; SG = P-1, No. 2; total magnetic moment = 0.0 μB per cell
1.0
5.6978 0.0000 0.0000
1.5269 5.5941 0.0000
2.8199 2.2247 6.7790
B H Pd
1 6 12
Direct
0.0000 0.0000 0.0000
0.1702 0.6010 0.7329
0.3131 0.5097 0.3061
0.4887 0.9220 0.3944
0.5113 0.0780 0.6056
0.6869 0.4903 0.6939
0.8298 0.3990 0.2671
0.0468 0.6347 0.1977
0.0542 0.1297 0.2007
0.2727 0.1925 0.4720
0.2746 0.6979 0.4646
0.3850 0.4622 0.8773
0.3926 0.9626 0.8727
0.6074 0.0374 0.1273
0.6150 0.5378 0.1227
0.7254 0.3021 0.5354
0.7273 0.8075 0.5280
0.9458 0.8703 0.7993
0.9532 0.3653 0.8023

---

Run 2
BH6Pd12, optimized geometry, DFT PBE; DOS(E_F) = 7.187 states/eV/cell; SG = R-3, No. 148; total magnetic moment = 0.0 μB per cell
1.0
4.4283 2.5567 3.1990
-4.4283 2.5567 3.1990
0.0000 -5.1134 3.1990
B H Pd
1 6 12
Direct
0.0000 0.0000 0.0000
0.0948 0.3335 0.5498
0.3335 0.5498 0.0948
0.4502 0.9052 0.6665
0.5498 0.0948 0.3335
0.6665 0.4502 0.9052
0.9052 0.6665 0.4502
0.0691 0.8754 0.6846
0.1246 0.3154 0.9309
0.1894 0.5573 0.3755
0.3154 0.9309 0.1246
0.3755 0.1894 0.5573
0.4427 0.6245 0.8106
0.5573 0.3755 0.1894
0.6245 0.8106 0.4427
0.6846 0.0691 0.8754
0.8106 0.4427 0.6245
0.8754 0.6846 0.0691
0.9309 0.1246 0.3154

---

Stability summary - winner: run 1; margin: 8.3 kJ/mol of atoms.

---

Run 1
BH2Pd, optimized geometry, DFT PBE; DOS(E_F) = 2.409 states/eV/cell; SG = Fm-3m, No. 225; total magnetic moment = 0.0 μB per cell
1.0
0.0000 2.4484 2.4484
2.4484 0.0000 2.4484
2.4484 2.4484 0.0000
B H Pd
1 2 1
Direct
0.0000 0.0000 0.0000
0.2500 0.2500 0.2500
0.7500 0.7500 0.7500
0.5000 0.5000 0.5000

---

Run 2
BH2Pd, optimized geometry, DFT PBE; DOS(E_F) = 0.428 states/eV/cell; SG = I-42d, No. 122; total magnetic moment = 0.0 μB per cell
1.0
-1.7776 1.7776 4.7011
1.7776 -1.7776 4.7011
1.7776 1.7776 -4.7011
B H Pd
2 4 2
Direct
0.0000 0.0000 0.0000
0.7500 0.2500 0.5000
0.3750 0.2484 0.3734
0.7516 0.1250 0.1266
0.8750 0.0016 0.6266
0.9984 0.6250 0.8734
0.2500 0.7500 0.5000
0.5000 0.5000 0.0000

---

Stability summary - winner: run 2; margin: 51.5 kJ/mol of atoms.

---

Run 1
B2HPd6, optimized geometry, DFT PBE; DOS(E_F) = 2.423 states/eV/cell; SG = C2/m, No. 12; total magnetic moment = 0.0 μB per cell
1.0
4.7940 -2.1290 0.0000
4.7940 2.1290 0.0000
-2.2825 0.0000 5.6684
B H Pd
2 1 6
Direct
0.1842 0.1842 0.1294
0.8158 0.8158 0.8706
0.0000 0.0000 0.5000
0.0024 0.0024 0.7758
0.3281 0.3281 0.9335
0.3444 0.3444 0.4532
0.6556 0.6556 0.5468
0.6719 0.6719 0.0665
0.9976 0.9976 0.2242

---

Run 2
B2HPd6, optimized geometry, DFT PBE; DOS(E_F) = 6.253 states/eV/cell; SG = Immm, No. 71; total magnetic moment = 0.0 μB per cell
1.0
-2.8333 4.3567 4.5036
2.8333 -4.3567 4.5036
2.8333 4.3567 -4.5036
B H Pd
4 2 12
Direct
0.1606 0.1606 0.0000
0.3491 0.0000 0.3491
0.6509 0.0000 0.6509
0.8394 0.8394 0.0000
0.0000 0.5000 0.5000
0.5000 0.5000 0.0000
0.0046 0.2463 0.7582
0.1552 0.2480 0.4033
0.1552 0.7520 0.9072
0.3521 0.0960 0.7439
0.3521 0.6081 0.2561
0.4881 0.2463 0.2418
0.5119 0.7537 0.7582
0.6479 0.3919 0.7439
0.6479 0.9040 0.2561
0.8448 0.2480 0.0928
0.8448 0.7520 0.5967
0.9954 0.7537 0.2418

---

Stability summary - winner: run 1; margin: 9.1 kJ/mol of atoms.